A plane-wave DFT calculation with PBE was carried out for BaGeAu after structural relaxation.

Results
**Calculated volume**: 29.129 A^3/atom
**Energy**: -3.91 eV per atom
**ΔE_f**: -0.64 eV/atom
**DOS at the Fermi energy**: 0.911 states/eV/atom
**Symmetry**: P-6m2 (187)

Geometry as POSCAR:
```
BaGeAu
1.0
4.528 0.000 0.000
-2.264 3.922 0.000
0.000 0.000 4.921
Ba Ge Au
1 1 1
Cartesian
0.000 0.000 0.000
0.000 2.614 2.461
2.264 1.307 2.461
```

A plane-wave DFT calculation with PBE was carried out for Ba2GeAu6 after structural relaxation.

Results
**Calculated volume**: 24.268 A^3/atom
**Energy**: -3.59 eV per atom
**ΔE_f**: -0.46 eV/atom
**DOS at the Fermi energy**: 0.355 states/eV/atom
**Symmetry**: P-3m1 (164)

Geometry as POSCAR:
```
Ba2GeAu6
1.0
6.459 0.000 0.000
-3.229 5.593 0.000
0.000 0.000 6.045
Ba Ge Au
2 1 6
Cartesian
0.000 3.729 0.995
3.229 1.864 5.050
0.000 0.000 0.000
0.000 1.995 4.107
-1.502 4.596 4.107
1.728 0.997 1.938
1.502 4.596 4.107
4.731 0.997 1.938
3.229 3.599 1.938
```

A plane-wave DFT calculation with PBE was carried out for BaGe3Au3 after structural relaxation.

Results
**Calculated volume**: 27.231 A^3/atom
**Energy**: -3.85 eV per atom
**ΔE_f**: -0.19 eV/atom
**DOS at the Fermi energy**: 0.331 states/eV/atom
**Symmetry**: R-3 (148)

Geometry as POSCAR:
```
BaGe3Au3
1.0
3.811 2.200 7.576
-3.811 2.200 7.576
0.000 -4.401 7.576
Ba Ge Au
2 6 6
Cartesian
0.000 0.000 3.794
0.000 0.000 18.934
-1.199 -2.070 9.113
-2.392 0.003 13.615
-1.193 2.073 9.113
1.193 -2.073 13.615
2.392 -0.003 9.113
1.199 2.070 13.615
-2.641 0.003 8.626
-1.323 -2.286 14.102
1.318 -2.289 8.626
-1.318 2.289 14.102
1.323 2.286 8.626
2.641 -0.003 14.102
```

A plane-wave DFT calculation with PBE was carried out for BaGe2Au after structural relaxation.

Results
**Calculated volume**: 24.617 A^3/atom
**Energy**: -3.66 eV per atom
**ΔE_f**: -0.05 eV/atom
**DOS at the Fermi energy**: 0.509 states/eV/atom
**Symmetry**: Fm-3m (225)

Geometry as POSCAR:
```
BaGe2Au
1.0
0.000 3.665 3.665
3.665 0.000 3.665
3.665 3.665 0.000
Ba Ge Au
1 2 1
Cartesian
0.000 0.000 0.000
1.833 1.833 1.833
5.498 5.498 5.498
3.665 3.665 3.665
```

A plane-wave DFT calculation with PBE was carried out for BaGe2Au5 after structural relaxation.

Results
**Calculated volume**: 22.421 A^3/atom
**Energy**: -3.81 eV per atom
**ΔE_f**: -0.37 eV/atom
**DOS at the Fermi energy**: 0.283 states/eV/atom
**Symmetry**: Pnma (62)

Geometry as POSCAR:
```
BaGe2Au5
1.0
9.151 0.000 0.000
0.000 7.232 0.000
0.000 0.000 10.841
Ba Ge Au
4 8 20
Cartesian
2.020 1.808 1.145
2.556 5.424 6.566
6.595 1.808 4.275
7.131 5.424 9.695
0.490 1.808 6.696
1.519 5.424 10.230
3.057 1.808 4.810
4.085 5.424 1.275
5.066 1.808 9.565
6.094 5.424 6.031
7.632 1.808 0.611
8.661 5.424 4.145
0.833 0.379 4.201
0.833 3.237 4.201
0.927 0.304 8.969
0.927 3.312 8.969
1.537 5.424 1.939
3.038 1.808 7.360
3.649 3.920 3.548
3.649 6.928 3.548
3.743 3.995 9.621
3.743 6.853 9.621
5.408 0.379 1.219
5.408 3.237 1.219
5.503 0.304 7.292
5.503 3.312 7.292
6.113 5.424 3.481
7.614 1.808 8.901
8.224 3.920 1.872
8.224 6.928 1.872
8.318 3.995 6.640
8.318 6.853 6.640
```

A plane-wave DFT calculation with PBE was carried out for Ba2Ge3Au6 after structural relaxation.

Results
**Calculated volume**: 24.069 A^3/atom
**Energy**: -3.84 eV per atom
**ΔE_f**: -0.44 eV/atom
**DOS at the Fermi energy**: 0.338 states/eV/atom
**Symmetry**: P-62m (189)

Geometry as POSCAR:
```
Ba2Ge3Au6
1.0
8.056 0.000 0.000
-4.028 6.977 0.000
0.000 0.000 4.710
Ba Ge Au
2 3 6
Cartesian
0.000 4.651 0.000
4.028 2.326 0.000
-1.364 2.363 2.355
2.729 0.000 2.355
2.664 4.614 2.355
-0.825 1.428 0.000
-2.709 4.691 2.355
1.649 0.000 0.000
1.320 2.286 2.355
5.417 0.000 2.355
3.204 5.549 0.000
```

A plane-wave DFT calculation with PBE was carried out for BaGe3Au2 after structural relaxation.

Results
**Calculated volume**: 23.379 A^3/atom
**Energy**: -4.05 eV per atom
**ΔE_f**: -0.33 eV/atom
**DOS at the Fermi energy**: 0.517 states/eV/atom
**Symmetry**: I4/mmm (139)

Geometry as POSCAR:
```
BaGe3Au2
1.0
-2.271 2.271 13.594
2.271 -2.271 13.594
2.271 2.271 -13.594
Ba Ge Au
2 6 4
Cartesian
0.000 0.000 4.068
0.000 0.000 23.119
2.271 0.000 1.265
0.000 0.000 8.251
2.271 0.000 12.329
0.000 2.271 1.265
0.000 0.000 18.936
0.000 2.271 12.329
2.271 0.000 6.797
0.000 0.000 10.943
0.000 0.000 16.245
0.000 2.271 6.797
```

A plane-wave DFT calculation with PBE was carried out for BaGe2Au8 after structural relaxation.

Results
**Calculated volume**: 26.574 A^3/atom
**Energy**: -3.43 eV per atom
**ΔE_f**: -0.03 eV/atom
**DOS at the Fermi energy**: 0.496 states/eV/atom
**Symmetry**: P4/mmm (123)

Geometry as POSCAR:
```
BaGe2Au8
1.0
5.609 0.000 0.000
0.000 5.609 0.000
0.000 0.000 9.291
Ba Ge Au
1 2 8
Cartesian
0.000 0.000 0.000
0.000 2.805 4.646
2.805 0.000 4.646
1.413 1.413 2.755
1.413 1.413 6.536
1.413 4.196 2.755
1.413 4.196 6.536
4.196 1.413 2.755
4.196 1.413 6.536
4.196 4.196 2.755
4.196 4.196 6.536
```

A plane-wave DFT calculation with PBE was carried out for BaGeAu4 after structural relaxation.

Results
**Calculated volume**: 24.341 A^3/atom
**Energy**: -3.65 eV per atom
**ΔE_f**: -0.38 eV/atom
**DOS at the Fermi energy**: 0.240 states/eV/atom
**Symmetry**: Cmcm (63)

Geometry as POSCAR:
```
BaGeAu4
1.0
2.626 -7.875 0.000
2.626 7.875 0.000
0.000 0.000 7.063
Ba Ge Au
2 2 8
Cartesian
2.626 6.286 5.297
2.626 -6.286 1.766
2.626 1.905 5.297
2.626 -1.905 1.766
2.626 5.921 1.766
2.626 3.407 0.349
2.626 3.407 3.183
2.626 0.000 0.000
2.626 0.000 3.532
2.626 -3.407 3.881
2.626 -3.407 6.714
2.626 -5.921 5.297
```

A plane-wave DFT calculation with PBE was carried out for BaGe3Au6 after structural relaxation.

Results
**Calculated volume**: 22.994 A^3/atom
**Energy**: -3.74 eV per atom
**ΔE_f**: -0.20 eV/atom
**DOS at the Fermi energy**: 0.434 states/eV/atom
**Symmetry**: R3 (146)

Geometry as POSCAR:
```
BaGe3Au6
1.0
3.435 1.983 5.625
-3.435 1.983 5.625
0.000 -3.967 5.625
Ba Ge Au
1 3 6
Cartesian
0.000 0.000 0.000
0.000 0.000 5.016
0.000 0.000 9.227
0.000 0.000 13.663
-0.823 -2.418 8.598
-1.682 1.922 8.598
-0.190 -1.675 11.626
-1.355 1.002 11.626
2.505 0.496 8.598
1.546 0.673 11.626
```

A plane-wave DFT calculation with PBE was carried out for BaGeAu3 after structural relaxation.

Results
**Calculated volume**: 26.627 A^3/atom
**Energy**: -3.71 eV per atom
**ΔE_f**: -0.43 eV/atom
**DOS at the Fermi energy**: 0.359 states/eV/atom
**Symmetry**: Pm-3m (221)

Geometry as POSCAR:
```
BaGeAu3
1.0
5.106 0.000 0.000
0.000 5.106 0.000
0.000 0.000 5.106
Ba Ge Au
1 1 3
Cartesian
0.000 0.000 0.000
2.553 2.553 2.553
0.000 2.553 2.553
2.553 0.000 2.553
2.553 2.553 0.000
```

A plane-wave DFT calculation with PBE was carried out for BaGe3Au4 after structural relaxation.

Results
**Calculated volume**: 22.412 A^3/atom
**Energy**: -3.90 eV per atom
**ΔE_f**: -0.29 eV/atom
**DOS at the Fermi energy**: 0.477 states/eV/atom
**Symmetry**: P4/mmm (123)

Geometry as POSCAR:
```
BaGe3Au4
1.0
4.674 0.000 0.000
0.000 4.674 0.000
0.000 0.000 8.206
Ba Ge Au
1 3 4
Cartesian
0.000 0.000 0.000
0.000 0.000 4.103
2.337 2.337 1.360
2.337 2.337 6.845
0.000 2.337 2.617
0.000 2.337 5.589
2.337 0.000 2.617
2.337 0.000 5.589
```

A plane-wave DFT calculation with PBE was carried out for BaGe3Au3 after structural relaxation.

Results
**Calculated volume**: 26.565 A^3/atom
**Energy**: -3.93 eV per atom
**ΔE_f**: -0.27 eV/atom
**DOS at the Fermi energy**: 0.666 states/eV/atom
**Symmetry**: Pm-3n (223)

Geometry as POSCAR:
```
BaGe3Au3
1.0
7.191 0.000 0.000
0.000 7.191 0.000
0.000 0.000 7.191
Ba Ge Au
2 6 6
Cartesian
0.000 0.000 0.000
3.596 3.596 3.596
0.000 1.798 3.596
0.000 5.394 3.596
1.798 3.596 0.000
3.596 0.000 1.798
3.596 0.000 5.394
5.394 3.596 0.000
0.000 3.596 1.798
0.000 3.596 5.394
1.798 0.000 3.596
3.596 1.798 0.000
3.596 5.394 0.000
5.394 0.000 3.596
```

A plane-wave DFT calculation with PBE was carried out for Ba3Ge4Au4 after structural relaxation.

Results
**Calculated volume**: 26.422 A^3/atom
**Energy**: -3.98 eV per atom
**ΔE_f**: -0.59 eV/atom
**DOS at the Fermi energy**: 0.506 states/eV/atom
**Symmetry**: P-1 (2)

Geometry as POSCAR:
```
Ba3Ge4Au4
1.0
4.636 0.000 0.000
-0.004 4.831 0.000
-2.313 -2.412 12.978
Ba Ge Au
3 4 4
Cartesian
0.000 0.000 0.000
-0.001 2.411 9.107
2.319 0.008 3.871
-0.007 2.277 5.199
0.004 -0.053 11.710
2.315 2.473 1.267
2.325 0.142 7.779
-0.003 2.380 2.539
0.007 -0.153 6.474
2.311 2.573 6.503
2.321 0.039 10.439
```

A plane-wave DFT calculation with PBE was carried out for Ba5Ge2Au2 after structural relaxation.

Results
**Calculated volume**: 36.820 A^3/atom
**Energy**: -3.41 eV per atom
**ΔE_f**: -0.58 eV/atom
**DOS at the Fermi energy**: 0.840 states/eV/atom
**Symmetry**: Cmce (64)

Geometry as POSCAR:
```
Ba5Ge2Au2
1.0
8.847 -4.318 0.000
8.847 4.318 0.000
0.000 0.000 8.674
Ba Ge Au
10 4 4
Cartesian
0.000 0.000 0.000
6.394 2.835 5.829
6.394 1.483 1.493
11.300 2.835 5.829
11.300 1.483 1.493
8.847 0.000 4.337
6.394 -1.483 7.181
6.394 -2.835 2.844
11.300 -1.483 7.181
11.300 -2.835 2.844
8.847 3.383 3.421
8.847 0.935 7.757
8.847 -0.935 0.916
8.847 -3.383 5.253
3.598 0.000 0.000
5.249 0.000 4.337
12.445 0.000 4.337
14.096 0.000 0.000
```

A plane-wave DFT calculation with PBE was carried out for Ba8Ge2Au after structural relaxation.

Results
**Calculated volume**: 43.266 A^3/atom
**Energy**: -2.88 eV per atom
**ΔE_f**: -0.35 eV/atom
**DOS at the Fermi energy**: 0.782 states/eV/atom
**Symmetry**: C2/m (12)

Geometry as POSCAR:
```
Ba8Ge2Au
1.0
10.971 -2.784 0.000
10.971 2.784 0.000
-1.775 0.000 7.791
Ba Ge Au
8 2 1
Cartesian
0.387 0.000 2.362
3.175 0.000 6.457
6.352 0.000 4.170
8.857 0.000 0.532
11.310 0.000 7.259
13.814 0.000 3.621
16.992 0.000 1.334
19.779 0.000 5.429
3.826 0.000 1.785
16.340 0.000 6.007
10.083 0.000 3.896
```

A plane-wave DFT calculation with PBE was carried out for BaGe2Au after structural relaxation.

Results
**Calculated volume**: 29.395 A^3/atom
**Energy**: -3.95 eV per atom
**ΔE_f**: -0.35 eV/atom
**DOS at the Fermi energy**: 0.258 states/eV/atom
**Symmetry**: I-42d (122)

Geometry as POSCAR:
```
BaGe2Au
1.0
-2.520 2.520 9.259
2.520 -2.520 9.259
2.520 2.520 -9.259
Ba Ge Au
2 4 2
Cartesian
0.000 0.000 0.000
0.000 2.520 4.630
1.260 -0.281 6.945
2.239 1.260 2.315
1.260 2.801 -2.315
0.281 1.260 11.574
2.520 0.000 4.630
0.000 0.000 9.259
```

A plane-wave DFT calculation with PBE was carried out for BaGe2Au after structural relaxation.

Results
**Calculated volume**: 25.582 A^3/atom
**Energy**: -4.06 eV per atom
**ΔE_f**: -0.45 eV/atom
**DOS at the Fermi energy**: 0.313 states/eV/atom
**Symmetry**: R-3m (166)

Geometry as POSCAR:
```
BaGe2Au
1.0
2.212 1.277 6.036
-2.212 1.277 6.036
0.000 -2.555 6.036
Ba Ge Au
1 2 1
Cartesian
0.000 0.000 0.000
0.000 0.000 3.879
0.000 0.000 14.228
0.000 0.000 9.054
```

A plane-wave DFT calculation with PBE was carried out for Ba3Ge3Au8 after structural relaxation.

Results
**Calculated volume**: 24.384 A^3/atom
**Energy**: -3.74 eV per atom
**ΔE_f**: -0.47 eV/atom
**DOS at the Fermi energy**: 0.459 states/eV/atom
**Symmetry**: C2/m (12)

Geometry as POSCAR:
```
Ba3Ge3Au8
1.0
8.872 -2.352 0.000
8.872 2.352 0.000
-5.180 0.000 8.180
Ba Ge Au
3 3 8
Cartesian
0.000 0.000 0.000
3.524 0.000 2.677
9.039 0.000 5.503
-2.590 0.000 4.090
0.731 0.000 8.063
11.833 0.000 0.116
-0.106 0.000 3.188
-1.927 0.000 7.077
2.544 0.000 6.092
7.006 0.000 2.413
5.557 0.000 5.767
10.020 0.000 2.088
14.491 0.000 1.103
12.669 0.000 4.992
```

A plane-wave DFT calculation with PBE was carried out for Ba2Ge5Au4 after structural relaxation.

Results
**Calculated volume**: 24.032 A^3/atom
**Energy**: -4.00 eV per atom
**ΔE_f**: -0.36 eV/atom
**DOS at the Fermi energy**: 0.450 states/eV/atom
**Symmetry**: Fmmm (69)

Geometry as POSCAR:
```
Ba2Ge5Au4
1.0
0.000 5.359 7.738
3.187 0.000 7.738
3.187 5.359 0.000
Ba Ge Au
2 5 4
Cartesian
3.187 5.359 2.125
3.187 5.359 13.352
1.594 2.679 0.000
1.594 2.679 3.869
1.594 2.679 7.738
3.187 5.359 7.738
4.781 8.038 11.608
3.187 3.842 5.560
3.187 3.842 9.917
3.187 6.876 5.560
3.187 6.876 9.917
```

A plane-wave DFT calculation with PBE was carried out for BaGeAu3 after structural relaxation.

Results
**Calculated volume**: 42.751 A^3/atom
**Energy**: -2.39 eV per atom
**ΔE_f**: 0.88 eV/atom
**DOS at the Fermi energy**: 0.831 states/eV/atom
**Symmetry**: Pm-3m (221)

Geometry as POSCAR:
```
BaGeAu3
1.0
5.979 0.000 0.000
0.000 5.979 0.000
0.000 0.000 5.979
Ba Ge Au
1 1 3
Cartesian
0.000 0.000 0.000
2.990 2.990 2.990
0.000 0.000 2.990
0.000 2.990 0.000
2.990 0.000 0.000
```

A plane-wave DFT calculation with PBE was carried out for BaGeAu3 after structural relaxation.

Results
**Calculated volume**: 24.274 A^3/atom
**Energy**: -3.79 eV per atom
**ΔE_f**: -0.51 eV/atom
**DOS at the Fermi energy**: 0.529 states/eV/atom
**Symmetry**: I4mm (107)

Geometry as POSCAR:
```
BaGeAu3
1.0
-2.430 2.430 5.141
2.430 -2.430 5.141
2.430 2.430 -5.141
Ba Ge Au
1 1 3
Cartesian
0.000 0.000 0.000
0.000 0.000 6.665
2.430 0.000 2.496
0.000 0.000 4.092
0.000 2.430 2.496
```